[1]
{
  "formula": "Nd4GeRuBr2",
  "functional": "PBE-GGA",
  "state": "relaxed",
  "lattice": [[4.168, 0.000, 0.000], [0.000, 7.501, 0.214], [0.000, -2.556, 7.518]],
  "species": ["Nd", "Nd", "Nd", "Nd", "Ge", "Ru", "Br", "Br"],
  "frac_coords": [[0.500, 0.257, 0.196], [0.500, 0.743, 0.804], [0.000, 0.274, 0.799], [0.000, 0.726, 0.201], [0.000, 0.000, 0.000], [0.500, 0.500, 0.000], [0.500, 0.000, 0.500], [0.000, 0.500, 0.500]],
  "crystal_system": "monoclinic",
  "formation_energy_uncorrected_mev_per_atom": -951
}


[2]
{
  "formula": "Nd6GeRu2Br3",
  "functional": "PBE-GGA",
  "state": "relaxed",
  "lattice": [[7.271, -0.006, -0.004], [-3.639, 6.295, -0.004], [-1.215, -2.105, 7.708]],
  "species": ["Nd", "Nd", "Nd", "Nd", "Nd", "Nd", "Ge", "Ru", "Ru", "Br", "Br", "Br"],
  "frac_coords": [[0.935, 0.583, 0.800], [0.715, 0.715, 0.200], [0.065, 0.417, 0.200], [0.583, 0.935, 0.800], [0.285, 0.285, 0.800], [0.417, 0.065, 0.200], [0.000, 0.000, 0.000], [0.333, 0.667, 0.000], [0.667, 0.333, 0.000], [0.164, 0.836, 0.500], [0.836, 0.164, 0.500], [0.500, 0.500, 0.500]],
  "crystal_system": "monoclinic",
  "formation_energy_uncorrected_mev_per_atom": -885
}


[3]
{
  "formula": "Nd8Ge3RuBr4",
  "functional": "PBE-GGA",
  "state": "relaxed",
  "lattice": [[-2.594, 4.218, 7.010], [-8.424, -0.605, -2.754], [4.634, -7.182, 0.782]],
  "species": ["Nd", "Nd", "Nd", "Nd", "Nd", "Nd", "Nd", "Nd", "Ge", "Ge", "Ge", "Ru", "Br", "Br", "Br", "Br"],
  "frac_coords": [[0.228, 0.705, 0.977], [0.228, 0.705, 0.456], [0.261, 0.284, 0.523], [0.750, 0.705, 0.977], [0.250, 0.295, 0.023], [0.739, 0.716, 0.477], [0.772, 0.295, 0.544], [0.772, 0.295, 0.023], [0.500, 0.500, 0.000], [0.500, 0.500, 0.500], [0.000, 0.500, 0.500], [0.000, 0.500, 0.000], [0.500, 0.000, 0.000], [0.500, 0.000, 0.500], [0.000, 0.000, 0.000], [0.000, 0.000, 0.500]],
  "crystal_system": "trigonal",
  "formation_energy_uncorrected_mev_per_atom": -1043
}


Number 1: total magnetic moment 0.00 Bohr magnetons per cell, ρ 6371 kg/m³. Number 2: total magnetic moment 0.00 Bohr magnetons per cell, ρ 6500 kg/m³. Number 3: total magnetic moment 0.00 Bohr magnetons per cell, ρ 6330 kg/m³.